The following is a DFT calculation (PBE) of a relaxed structure of Sm3HoTh2Se6.

Values from the calculation:
space-group type	C2/m, No. 12
DFT total energy	-6.24	eV/atom
uncorrected formation energy	-1695	meV/atom
DOS at the Fermi energy	0.60	states/eV/atom

Cell lengths 9.3201, 9.3201, 8.3509 Å; angles 102.97, 102.97, 25.78 degrees
Fractional positions:
Sm 0.0000 0.0000 0.0000
Sm 0.3307 0.3307 0.6669
Sm 0.6693 0.6693 0.3331
Ho 0.0000 0.0000 0.5000
Th 0.3306 0.3306 0.1601
Th 0.6694 0.6694 0.8399
Se 0.1628 0.1628 0.5799
Se 0.1637 0.1637 0.0887
Se 0.4994 0.4994 0.7412
Se 0.5006 0.5006 0.2588
Se 0.8363 0.8363 0.9113
Se 0.8372 0.8372 0.4201